Entry i
Below is LaZr2Al2 after structural relaxation, with properties calculated at the GGA-PBE level.

Properties
As for the space group: P4/mbm, No. 127. As for the total magnetic moment: 0.00 μB per formula unit.

Cell and atoms, written as POSCAR:
```
LaZr2Al2
1.0
-7.109 2.675 -4.062
0.491 -6.763 -5.313
-1.721 -1.642 1.931
Al Zr La
4 4 2
Cartesian
-1.744 -4.900 -3.291
-5.221 -4.636 -6.165
-6.595 -0.830 -4.154
-3.118 -1.094 -1.279
-2.240 -4.917 -6.177
-5.918 -1.881 -6.874
-4.378 0.829 -3.198
-0.700 -2.207 -2.501
0.000 0.000 0.000
-3.309 -2.044 -4.688
```

=====

Entry ii
Below is LaZr2Al2 after structural relaxation, with properties calculated at the GGA-PBE level.

Properties
As for the space group: P4/mbm, No. 127. As for the total magnetic moment: 0.00 μB per formula unit.

Cell and atoms, written as POSCAR:
```
LaZr2Al2
1.0
8.233 0.000 0.000
0.000 8.233 0.000
0.000 0.000 3.355
Al Zr La
4 4 2
Cartesian
3.164 7.281 0.000
7.281 5.069 0.000
5.069 0.953 0.000
0.953 3.164 0.000
1.452 5.569 1.677
5.569 6.781 1.677
6.781 2.664 1.677
2.664 1.452 1.677
0.000 0.000 0.000
4.117 4.117 0.000
```

=====

Entry iii
Below is LaZr2Al2 after structural relaxation, with properties calculated at the GGA-PBE level.

Properties
As for the space group: I4/mmm, No. 139. As for the total magnetic moment: 0.00 μB per formula unit.

Cell and atoms, written as POSCAR:
```
LaZr2Al2
1.0
-3.278 -1.561 -2.817
2.349 -3.908 -0.568
-3.326 -5.132 2.966
Al Zr La
2 2 1
Cartesian
-3.534 -4.713 -0.771
-0.720 -5.887 0.353
-1.155 -3.313 -0.568
-3.100 -7.288 0.150
0.000 0.000 0.000
```

=====

Q: Which of them is the most stable? A: entry ii.